Computed, not measured: a geometry-optimized TlCu2AsBr6 structure at the PBE level of DFT.

## Properties
**Uncorrected energy**: -2.944 eV per atom
**Magnetization**: 0.00 μB per cell

The structure in POSCAR format:
```
TlCu2AsBr6
1.0
3.5652 2.0584 7.3973
-3.5652 2.0584 7.3973
0.0000 -4.1168 7.3973
Tl Cu As Br
1 2 1 6
Direct
0.0000 0.0000 0.0000
0.2303 0.2303 0.2303
0.7684 0.7684 0.7684
0.4998 0.4998 0.4998
0.1093 0.7239 0.4513
0.2758 0.5482 0.8900
0.4513 0.1093 0.7239
0.5482 0.8900 0.2758
0.7239 0.4513 0.1093
0.8900 0.2758 0.5482
```


Computed, not measured: a geometry-optimized Na3Ac3GeSe8 structure at the PBE level of DFT.

## Properties
**Uncorrected energy**: -4.580 eV per atom
**Magnetization**: 0.00 μB per cell

The structure in POSCAR format:
```
Na3Ac3GeSe8
1.0
4.4058 2.5437 7.0053
-4.4058 2.5437 7.0053
0.0000 -5.0874 7.0053
Na Ac Ge Se
3 3 1 8
Direct
0.0000 0.5000 0.5000
0.5000 0.0000 0.5000
0.5000 0.5000 0.0000
0.0000 0.0000 0.5000
0.0000 0.5000 0.0000
0.5000 0.0000 0.0000
0.5000 0.5000 0.5000
0.2485 0.2485 0.2485
0.2831 0.2831 0.7128
0.2831 0.7128 0.2831
0.2872 0.7169 0.7169
0.7128 0.2831 0.2831
0.7169 0.2872 0.7169
0.7169 0.7169 0.2872
0.7515 0.7515 0.7515
```


Computed, not measured: a geometry-optimized Nb3CoAg structure at the PBE level of DFT.

## Properties
**ΔE_f**: 0.72 eV per atom
**Magnetization**: 0.00 μB per cell
**E above lowest polymorph**: 0 meV/atom

The structure in POSCAR format:
```
Nb3CoAg
1.0
4.6010 0.0000 0.0000
0.0000 4.6010 0.0000
0.0000 0.0000 4.6010
Nb Co Ag
3 1 1
Direct
0.0000 0.0000 0.5000
0.0000 0.5000 0.0000
0.5000 0.0000 0.0000
0.0000 0.0000 0.0000
0.5000 0.5000 0.5000
```


Computed, not measured: a geometry-optimized Cd2TcMo structure at the PBE level of DFT.

## Properties
**ΔE_f**: 0.79 eV per atom
**Magnetization**: 0.00 μB per cell
**E above lowest polymorph**: 609 meV/atom

The structure in POSCAR format:
```
Cd2TcMo
1.0
0.0000 3.2631 3.2631
3.2631 0.0000 3.2631
3.2631 3.2631 0.0000
Cd Tc Mo
2 1 1
Direct
0.2500 0.2500 0.2500
0.7500 0.7500 0.7500
0.0000 0.0000 0.0000
0.5000 0.5000 0.5000
```


Computed, not measured: a geometry-optimized BaNb2TeN structure at the PBE level of DFT.

## Properties
**Uncorrected energy**: -4.446 eV per atom
**Magnetization**: 4.43 μB per cell

The structure in POSCAR format:
```
BaNb2TeN
1.0
5.5275 0.0000 0.0000
0.0000 5.5275 0.0000
0.0000 0.0000 4.3007
Ba Nb Te N
1 2 1 1
Direct
0.0000 0.0000 0.0000
0.0000 0.5000 0.0000
0.5000 0.0000 0.0000
0.5000 0.5000 0.5000
0.0000 0.0000 0.5000
```


Computed, not measured: a geometry-optimized AlWC3 structure at the PBE level of DFT.

## Properties
**ΔE_f**: 2.44 eV per atom
**Magnetization**: 0.00 μB per cell
**E above lowest polymorph**: 662 meV/atom

The structure in POSCAR format:
```
AlWC3
1.0
3.7831 0.0000 0.0000
0.0000 3.7831 0.0000
0.0000 0.0000 3.7831
Al W C
1 1 3
Direct
0.0000 0.0000 0.0000
0.5000 0.5000 0.5000
0.0000 0.0000 0.5000
0.0000 0.5000 0.0000
0.5000 0.0000 0.0000
```


Computed, not measured: a geometry-optimized Tl2InSn2 structure at the PBE level of DFT.

## Properties
**ΔE_f**: 0.16 eV per atom
**Magnetization**: 0.00 μB per cell
**E above lowest polymorph**: 128 meV/atom

The structure in POSCAR format:
```
Tl2InSn2
1.0
-2.2194 2.2194 7.9267
2.2194 -2.2194 7.9267
2.2194 2.2194 -7.9267
Tl In Sn
2 1 2
Direct
0.2500 0.7500 0.5000
0.7500 0.2500 0.5000
0.0000 0.0000 0.0000
0.4066 0.4066 0.0000
0.5934 0.5934 0.0000
```


Computed, not measured: a geometry-optimized K2BI2 structure at the PBE level of DFT.

## Properties
**Magnetization**: 1.00 μB per cell
**E above lowest polymorph**: 76 meV/atom

The structure in POSCAR format:
```
K2BI2
1.0
-3.4394 3.4394 5.2169
3.4394 -3.4394 5.2169
3.4394 3.4394 -5.2169
K B I
2 1 2
Direct
0.2500 0.7500 0.5000
0.7500 0.2500 0.5000
0.0000 0.0000 0.0000
0.2862 0.2862 0.0000
0.7138 0.7138 0.0000
```


Computed, not measured: a geometry-optimized Hg2OsSe structure at the PBE level of DFT.

## Properties
**Uncorrected energy**: -3.565 eV per atom
**Magnetization**: 0.00 μB per cell

The structure in POSCAR format:
```
Hg2OsSe
1.0
1.7000 0.9815 9.1382
-1.7000 0.9815 9.1382
0.0000 -1.9629 9.1382
Hg Os Se
2 1 1
Direct
0.0000 0.0000 0.0000
0.2388 0.2388 0.2388
0.7439 0.7439 0.7439
0.4609 0.4609 0.4609
```


Computed, not measured: a geometry-optimized TbAl5Zn7 structure at the PBE level of DFT.

## Properties
**ΔE_f**: -0.12 eV per atom
**Magnetization**: 0.00 μB per cell

The structure in POSCAR format:
```
TbAl5Zn7
1.0
-2.7752 4.4904 4.3922
2.7752 -4.4904 4.3922
2.7752 4.4904 -4.3922
Tb Al Zn
1 5 7
Direct
0.0000 0.0000 0.0000
0.2156 0.7156 0.5000
0.5001 0.4946 0.5027
0.5001 0.9973 0.0055
0.9918 0.4946 0.9945
0.9918 0.9973 0.4973
0.2131 0.4972 0.7160
0.3492 0.3492 0.0000
0.3488 0.9945 0.3543
0.6403 0.9945 0.6457
0.6434 0.6434 0.0000
0.7812 0.4972 0.2840
0.7835 0.2835 0.5000
```


Computed, not measured: a geometry-optimized YThSc6 structure at the PBE level of DFT.

## Properties
**ΔE_f**: 0.02 eV per atom
**Magnetization**: 0.02 μB per cell
**E above lowest polymorph**: 0 meV/atom

The structure in POSCAR format:
```
YThSc6
1.0
5.3669 0.0000 0.0000
0.0000 3.3748 5.8463
0.0000 -3.3748 5.8463
Y Th Sc
1 1 6
Direct
0.0000 0.0000 0.0000
0.5000 0.3328 0.3328
0.0000 0.5012 0.5012
0.0000 0.5017 0.9965
0.0000 0.9965 0.5017
0.5000 0.3413 0.8288
0.5000 0.8288 0.3413
0.5000 0.8291 0.8291
```


Computed, not measured: a geometry-optimized BaSc2Co structure at the PBE level of DFT.

## Properties
**ΔE_f**: 0.65 eV per atom
**Magnetization**: 0.78 μB per cell
**E above lowest polymorph**: 611 meV/atom

The structure in POSCAR format:
```
BaSc2Co
1.0
3.1901 -3.9911 0.0000
3.1901 3.9911 0.0000
0.0000 0.0000 3.6904
Ba Sc Co
1 2 1
Direct
0.0000 0.0000 0.0000
0.0000 0.5000 0.5000
0.5000 0.0000 0.5000
0.5000 0.5000 0.0000
```


Computed, not measured: a geometry-optimized AcSm3Dy2Se6 structure at the PBE level of DFT.

## Properties
**Uncorrected energy**: -5.817 eV per atom
**Magnetization**: 0.00 μB per cell

The structure in POSCAR format:
```
AcSm3Dy2Se6
1.0
3.6276 -6.3065 0.0000
3.6276 6.3065 0.0000
-2.4421 0.0000 6.8332
Ac Sm Dy Se
1 3 2 6
Direct
0.0000 0.0000 0.0000
0.1573 0.8427 0.5000
0.5000 0.5000 0.5000
0.8427 0.1573 0.5000
0.3331 0.6669 0.0000
0.6669 0.3331 0.0000
0.0841 0.4349 0.2529
0.2698 0.2698 0.7564
0.4349 0.0841 0.2529
0.5651 0.9159 0.7471
0.7302 0.7302 0.2436
0.9159 0.5651 0.7471
```


Computed, not measured: a geometry-optimized GeMo6C structure at the PBE level of DFT.

## Properties
**ΔE_f**: 0.35 eV per atom
**Magnetization**: 0.00 μB per cell

The structure in POSCAR format:
```
GeMo6C
1.0
2.7550 1.5906 4.6820
-2.7550 1.5906 4.6820
0.0000 -3.1812 4.6820
Ge Mo C
1 6 1
Direct
0.0000 0.0000 0.0000
0.0651 0.6990 0.4864
0.3010 0.5136 0.9349
0.4864 0.0651 0.6990
0.5136 0.9349 0.3010
0.6990 0.4864 0.0651
0.9349 0.3010 0.5136
0.5000 0.5000 0.5000
```


Computed, not measured: a geometry-optimized Ca3Nd3Sn4 structure at the PBE level of DFT.

## Properties
**ΔE_f**: -0.69 eV per atom
**Magnetization**: 0.00 μB per cell

The structure in POSCAR format:
```
Ca3Nd3Sn4
1.0
4.6041 0.0000 0.0000
0.0000 5.8103 5.8263
0.0000 -5.8103 5.8263
Ca Nd Sn
3 3 4
Direct
0.0000 0.0000 0.0000
0.5000 0.3244 0.8260
0.5000 0.8260 0.3244
0.0000 0.1519 0.5000
0.0000 0.5000 0.1519
0.0000 0.6534 0.6534
0.5000 0.2033 0.2033
0.5000 0.4522 0.4522
0.5000 0.6976 0.9498
0.5000 0.9498 0.6976
```


Computed, not measured: a geometry-optimized LaGe2I8 structure at the PBE level of DFT.

## Properties
**Uncorrected energy**: -3.061 eV per atom
**Magnetization**: 0.00 μB per cell

The structure in POSCAR format:
```
LaGe2I8
1.0
6.8562 -5.8048 0.0000
6.8562 5.8048 0.0000
-1.8633 0.0000 7.6588
La Ge I
1 2 8
Direct
0.0000 0.0000 0.0000
0.1970 0.1970 0.6610
0.8030 0.8030 0.3390
0.0864 0.7202 0.2145
0.2058 0.2058 0.2898
0.2798 0.9136 0.7855
0.3855 0.3855 0.8470
0.6145 0.6145 0.1530
0.7202 0.0864 0.2145
0.7942 0.7942 0.7102
0.9136 0.2798 0.7855
```


Computed, not measured: a geometry-optimized Re3PtSe structure at the PBE level of DFT.

## Properties
**Magnetization**: 1.96 μB per cell
**E above lowest polymorph**: 858 meV/atom

The structure in POSCAR format:
```
Re3PtSe
1.0
4.7817 0.0000 0.0000
0.0000 4.7817 0.0000
0.0000 0.0000 4.7817
Re Pt Se
3 1 1
Direct
0.0000 0.0000 0.5000
0.0000 0.5000 0.0000
0.5000 0.0000 0.0000
0.0000 0.0000 0.0000
0.5000 0.5000 0.5000
```


Computed, not measured: a geometry-optimized Tb2PrGa3 structure at the PBE level of DFT.

## Properties
**ΔE_f**: -0.32 eV per atom
**Magnetization**: 0.00 μB per cell
**E above lowest polymorph**: 255 meV/atom

The structure in POSCAR format:
```
Tb2PrGa3
1.0
-4.8311 5.3364 3.0564
4.8311 -5.3364 3.0564
4.8311 5.3364 -3.0564
Tb Pr Ga
4 2 6
Direct
0.3338 0.2499 0.0839
0.3341 0.7501 0.5839
0.6659 0.2499 0.4161
0.6662 0.7501 0.9161
0.0006 0.2506 0.7500
0.9994 0.7494 0.2500
0.0000 0.2501 0.2501
0.0000 0.7499 0.7499
0.5000 0.0000 0.0000
0.5000 0.2501 0.7501
0.5000 0.5000 0.5000
0.5000 0.7499 0.2499
```


Computed, not measured: a geometry-optimized LiFe structure at the PBE level of DFT.

## Properties
**ΔE_f**: 0.28 eV per atom
**Magnetization**: 4.22 μB per cell

The structure in POSCAR format:
```
LiFe
1.0
1.1841 -4.5511 0.0000
1.1841 4.5511 0.0000
0.0000 0.0000 4.5735
Li Fe
2 2
Direct
0.0000 0.0000 0.0000
0.0000 0.0000 0.5000
0.2565 0.7435 0.7500
0.7435 0.2565 0.2500
```


Computed, not measured: a geometry-optimized Zn4InRh5 structure at the PBE level of DFT.

## Properties
**ΔE_f**: -0.40 eV per atom
**Magnetization**: 0.00 μB per cell

The structure in POSCAR format:
```
Zn4InRh5
1.0
3.0743 0.0000 0.0000
0.0000 3.0743 0.0000
0.0000 0.0000 15.2609
Zn In Rh
4 1 5
Direct
0.0000 0.0000 0.0967
0.0000 0.0000 0.2897
0.0000 0.0000 0.7103
0.0000 0.0000 0.9033
0.0000 0.0000 0.5000
0.5000 0.5000 0.0000
0.5000 0.5000 0.1939
0.5000 0.5000 0.3888
0.5000 0.5000 0.6112
0.5000 0.5000 0.8061
```